! BeAsOF2, relaxed, DFT PBE-GGA; values from VASP
&SYSTEM
  ibrav = 0, nat = 5, ntyp = 4
/
ATOMIC_SPECIES
Be 9.01 Be.upf
As 74.92 As.upf
O 16.00 O.upf
F 19.00 F.upf
CELL_PARAMETERS angstrom
3.200 0.000 0.000
0.000 3.200 0.000
0.000 0.000 6.088
ATOMIC_POSITIONS crystal
Be 0.000 0.000 0.000
As 0.500 0.500 0.500
O 0.000 0.000 0.500
F 0.000 0.500 0.000
F 0.500 0.000 0.000
! - Symmetry: P4/mmm (123)
! - VASP energy: -5.043 eV/atom
! - Total magnetization: 1.000 Bohr magnetons per cell
! - E_form (uncorrected): -785 kJ/mol of formula units
! - Energy relative to the lowest polymorph listed for this composition: 0.000 eV/atom

---

! Bi2PbAu2, relaxed, DFT PBE-GGA; values from VASP
&SYSTEM
  ibrav = 0, nat = 5, ntyp = 3
/
ATOMIC_SPECIES
Bi 208.98 Bi.upf
Pb 207.20 Pb.upf
Au 196.97 Au.upf
CELL_PARAMETERS angstrom
-2.294 3.461 4.153
2.294 -3.461 4.153
2.294 3.461 -4.153
ATOMIC_POSITIONS crystal
Bi 0.210 0.210 0.000
Bi 0.790 0.790 0.000
Pb 0.500 0.000 0.500
Au 0.204 0.500 0.704
Au 0.796 0.500 0.296
! - Symmetry: Immm (71)
! - VASP energy: -3.573 eV/atom
! - Total magnetization: 0.000 Bohr magnetons per cell
! - Energy relative to the elements: 32 meV/atom
! - Energy relative to the lowest polymorph listed for this composition: 0.072 eV/atom

---

! Cs4HAu2, relaxed, DFT PBE-GGA; values from VASP
&SYSTEM
  ibrav = 0, nat = 14, ntyp = 3
/
ATOMIC_SPECIES
Cs 132.91 Cs.upf
H 1.01 H.upf
Au 196.97 Au.upf
CELL_PARAMETERS angstrom
8.655 0.000 0.000
0.000 8.297 0.000
-2.974 0.000 9.632
ATOMIC_POSITIONS crystal
Cs 0.012 0.005 0.253
Cs 0.012 0.495 0.253
Cs 0.438 0.250 0.118
Cs 0.457 0.250 0.604
Cs 0.543 0.750 0.396
Cs 0.562 0.750 0.882
Cs 0.988 0.505 0.747
Cs 0.988 0.995 0.747
H 0.256 0.250 0.319
H 0.744 0.750 0.681
Au 0.226 0.750 0.052
Au 0.226 0.750 0.562
Au 0.774 0.250 0.438
Au 0.774 0.250 0.948
! - Symmetry: P2_1/m (11)
! - VASP energy: -2.102 eV/atom
! - Total magnetization: 0.002 Bohr magnetons per cell
! - Energy relative to the lowest polymorph listed for this composition: 0.029 eV/atom

---

! Li2RhPb, relaxed, DFT PBE-GGA; values from VASP
&SYSTEM
  ibrav = 0, nat = 4, ntyp = 3
/
ATOMIC_SPECIES
Li 6.94 Li.upf
Rh 102.91 Rh.upf
Pb 207.20 Pb.upf
CELL_PARAMETERS angstrom
3.104 0.000 0.000
0.000 4.213 0.000
-1.237 0.000 5.265
ATOMIC_POSITIONS crystal
Li 0.067 0.000 0.288
Li 0.933 0.000 0.712
Rh 0.500 0.500 0.500
Pb 0.500 0.500 0.000
! - Symmetry: P2/m (10)
! - VASP energy: -3.877 eV/atom
! - Total magnetization: 0.000 Bohr magnetons per cell
! - Energy relative to the elements: -155 meV/atom

---

! TeMo2As, relaxed, DFT PBE-GGA; values from VASP
&SYSTEM
  ibrav = 0, nat = 4, ntyp = 3
/
ATOMIC_SPECIES
Te 127.60 Te.upf
Mo 95.94 Mo.upf
As 74.92 As.upf
CELL_PARAMETERS angstrom
0.000 3.302 3.302
3.302 0.000 3.302
3.302 3.302 0.000
ATOMIC_POSITIONS crystal
Te 0.000 0.000 0.000
Mo 0.500 0.500 0.500
Mo 0.750 0.750 0.750
As 0.250 0.250 0.250
! - Symmetry: F-43m (216)
! - VASP energy: -6.689 eV/atom
! - Total magnetization: 0.161 Bohr magnetons per cell
! - E_form (uncorrected): 260 kJ/mol of formula units
! - Energy relative to the lowest polymorph listed for this composition: 0.617 eV/atom

---

! KPSeN2, relaxed, DFT PBE-GGA; values from VASP
&SYSTEM
  ibrav = 0, nat = 5, ntyp = 4
/
ATOMIC_SPECIES
K 39.10 K.upf
P 30.97 P.upf
Se 78.96 Se.upf
N 14.01 N.upf
CELL_PARAMETERS angstrom
4.376 0.000 0.000
0.000 4.376 0.000
0.000 0.000 6.748
ATOMIC_POSITIONS crystal
K 0.000 0.000 0.000
P 0.500 0.500 0.500
Se 0.000 0.000 0.500
N 0.000 0.500 0.000
N 0.500 0.000 0.000
! - Symmetry: P4/mmm (123)
! - VASP energy: -2.516 eV/atom
! - Total magnetization: 1.708 Bohr magnetons per cell
! - E_form (uncorrected): 1357 kJ/mol of formula units
! - Energy relative to the lowest polymorph listed for this composition: 1.810 eV/atom

---

Question: Look up the total magnetization of the first one.
Answer: 1.000 Bohr magnetons per cell